# 1
# PuMn2Tc

An optimized crystal structure of PuMn2Tc (PBE, Alexandria).

Summary:
Density of states at the Fermi level (states/eV per cell): 8.2
Calculated total energy (eV/atom): -10.4963

Unit cell a=4.5078 b=4.5078 c=4.2727 alpha=58.16 beta=58.16 gamma=60.00
Site moments in Bohr magnetons follow the coordinates.
Element x y z (fractional)
Mn1 0.7757 0.7757 0.6730  -1.43
Mn2 0.2243 0.2243 0.3270  -1.43
Tc1 0.5000 0.5000 0.5000  -0.14
Pu1 0.0000 0.0000 0.0000  4.11

***

# 2
# SrZrSi2

An optimized crystal structure of SrZrSi2 (PBE, Alexandria).

Summary:
Density of states at the Fermi level (states/eV per cell): 3.0
Calculated total energy (eV/atom): -5.6748

Unit cell a=3.8291 b=3.4533 c=7.5385 alpha=62.62 beta=90.00 gamma=90.00
Element x y z (fractional)
Si1 0.0000 0.0689 0.9308
Si2 0.0000 0.4311 0.5692
Sr1 0.5000 0.2500 0.2500
Zr1 0.5000 0.7500 0.7500

***

Q: Which of these has the highest calculated total energy?
A: SrZrSi2